# BePtClF2

Crystalline BePtClF2 at its relaxed geometry (PBE, Alexandria).

Calculated total energy in eV per atom: -4.458
Formation energy from raw total energies in meV per atom: -1386

Lattice parameters (Å, degrees): 3.3878 3.3878 6.3672 90.00 90.00 90.00
Last column: nearest neighbours and their distance in Å.
Space group P4/mmm (No. 123)
One atom of each set of equivalent atoms:
Be 0.0000 0.0000 0.0000  4 F 1.69
Pt 0.0000 0.0000 0.5000  4 Cl 2.40
Cl 0.5000 0.5000 0.5000  4 Pt 2.40
F 0.0000 0.5000 0.0000  2 Be 1.69